Entry 1:
Material: Sc2CrCdSn
Method: DFT, PBE
State: relaxed

Unit cell a=4.831 b=5.016 c=4.831 alpha=90.00 beta=90.00 gamma=90.00
Fractional positions:
Sc 0.000 0.000 0.500
Sc 0.500 0.000 0.000
Cr 0.000 0.000 0.000
Sn 0.000 0.500 0.000
Cd 0.500 0.500 0.500

Properties
The calculation puts the magnetic moment at 0.02 μB/cell. The volume is 23.410 A^3/atom. The mass density is 5.29 g/cm3. The value obtained for the energy relative to the elements is 1.08 eV per formula unit.

***

Entry 2:
Material: SrSc2CrCd
Method: DFT, PBE
State: relaxed

Unit cell a=4.929 b=5.630 c=4.929 alpha=90.00 beta=90.00 gamma=90.00
Fractional positions:
Sc 0.000 0.000 0.500
Sc 0.500 0.000 0.000
Cr 0.000 0.000 0.000
Cd 0.500 0.500 0.500
Sr 0.000 0.500 0.000

Properties
The calculation puts the magnetic moment at 0.00 μB/cell. The volume is 27.362 A^3/atom. The mass density is 4.15 g/cm3. The value obtained for the energy relative to the elements is 2.73 eV per formula unit.

***

Entry 3:
Material: ScTaCr2Cd
Method: DFT, PBE
State: relaxed

Unit cell a=4.392 b=4.392 c=4.853 alpha=90.00 beta=90.00 gamma=90.00
Fractional positions:
Ta 0.000 0.000 0.500
Cr 0.500 0.000 0.000
Cd 0.500 0.500 0.500
Cr 0.000 0.500 0.000
Sc 0.000 0.000 0.000

Properties
The calculation puts the magnetic moment at 0.00 μB/cell. The volume is 18.720 A^3/atom. The mass density is 7.85 g/cm3. The value obtained for the energy relative to the elements is 9.01 eV per formula unit.

***

Entry 4:
Material: Sc2TlCrCd
Method: DFT, PBE
State: relaxed

Unit cell a=5.395 b=5.088 c=5.395 alpha=90.00 beta=90.00 gamma=90.00
Fractional positions:
Cd 0.500 0.500 0.500
Tl 0.000 0.000 0.000
Cr 0.000 0.500 0.000
Sc 0.500 0.000 0.000
Sc 0.000 0.000 0.500

Properties
The calculation puts the magnetic moment at 3.31 μB/cell. The volume is 29.615 A^3/atom. The mass density is 5.14 g/cm3. The value obtained for the energy relative to the elements is 3.77 eV per formula unit.

***

Entry 5:
Material: ScCrCdW2
Method: DFT, PBE
State: relaxed

Unit cell a=4.510 b=4.972 c=4.510 alpha=90.00 beta=90.00 gamma=90.00
Fractional positions:
W 0.500 0.000 0.000
Cd 0.000 0.500 0.000
Cr 0.000 0.000 0.000
W 0.000 0.000 0.500
Sc 0.500 0.500 0.500

Properties
The calculation puts the magnetic moment at 0.03 μB/cell. The volume is 20.227 A^3/atom. The mass density is 9.47 g/cm3. The value obtained for the energy relative to the elements is 5.46 eV per formula unit.

***

Entry 6:
Material: CrCd2Se2
Method: DFT, PBE
State: relaxed

Unit cell a=5.760 b=5.760 c=5.760 alpha=124.80 beta=124.80 gamma=81.88
Fractional positions:
Se 0.750 0.250 0.500
Cd 0.341 0.341 0.000
Cr 0.000 0.000 0.000
Se 0.250 0.750 0.500
Cd 0.659 0.659 0.000

Properties
The calculation puts the magnetic moment at 4.59 μB/cell. The volume is 24.792 A^3/atom. The calculation puts the energy relative to the elements, uncorrected at 1.2 eV per formula unit. The mass density is 5.82 g/cm3.

***

Entry 7:
Material: Cr4CdSe
Method: DFT, PBE
State: relaxed

Unit cell a=4.961 b=4.961 c=4.961 alpha=60.00 beta=60.00 gamma=60.00
Fractional positions:
Cr 0.372 0.372 0.372
Se 0.750 0.750 0.750
Cd 0.000 0.000 0.000
Cr 0.372 0.372 0.884
Cr 0.884 0.372 0.372
Cr 0.372 0.884 0.372

Properties
The calculation puts the magnetic moment at 0.00 μB/cell. The volume is 14.387 A^3/atom. The calculation puts the energy relative to the elements, uncorrected at 3.7 eV per formula unit. The mass density is 7.68 g/cm3.

***

Entry 8:
Material: Cr3CdSe
Method: DFT, PBE
State: relaxed

Unit cell a=5.068 b=5.068 c=5.068 alpha=90.00 beta=90.00 gamma=90.00
Fractional positions:
Cr 0.000 0.000 0.500
Cr 0.000 0.500 0.000
Cr 0.500 0.000 0.000
Se 0.500 0.500 0.500
Cd 0.000 0.000 0.000

Properties
The calculation puts the magnetic moment at 13.05 μB/cell. As for the energy above the lowest structure with this stoichiometry: 482.6 meV per atom. The volume is 26.035 A^3/atom. The calculation puts the energy relative to the elements, uncorrected at 7.2 eV per formula unit. The mass density is 4.43 g/cm3.

***

Entry 9:
Material: Cr2CdSe4
Method: DFT, PBE
State: relaxed

Unit cell a=7.683 b=7.683 c=7.683 alpha=60.00 beta=60.00 gamma=60.00
Fractional positions:
Se 0.734 0.797 0.734
Cd 0.875 0.375 0.875
Cr 0.500 0.000 0.000
Se 0.734 0.234 0.734
Cr 0.500 0.000 0.500
Se 0.297 0.234 0.734
Se 0.266 0.766 0.703
Se 0.266 0.766 0.266
Cd 0.125 0.625 0.125
Cr 0.000 0.000 0.500
Cr 0.500 0.500 0.500
Se 0.734 0.234 0.297
Se 0.703 0.766 0.266
Se 0.266 0.203 0.266

Properties
The calculation puts the magnetic moment at 11.99 μB/cell. The volume is 22.910 A^3/atom. The calculation puts the energy relative to the elements, uncorrected at -3.9 eV per formula unit. The mass density is 5.51 g/cm3.

***

Entry 10:
Material: Cr3CdSe
Method: DFT, PBE
State: relaxed

Unit cell a=4.404 b=4.404 c=4.404 alpha=90.00 beta=90.00 gamma=90.00
Fractional positions:
Cr 0.000 0.500 0.000
Cr 0.000 0.000 0.500
Cr 0.500 0.000 0.000
Cd 0.500 0.500 0.500
Se 0.000 0.000 0.000

Properties
The calculation puts the magnetic moment at 1.45 μB/cell. As for the energy above the lowest structure with this stoichiometry: 0.0 meV per atom. The volume is 17.088 A^3/atom. The calculation puts the energy relative to the elements, uncorrected at 4.7 eV per formula unit. The mass density is 6.75 g/cm3.

***

Entry 11:
Material: CrCdSe4
Method: DFT, PBE
State: relaxed

Unit cell a=5.766 b=5.766 c=5.766 alpha=60.00 beta=60.00 gamma=60.00
Fractional positions:
Se 0.375 0.375 0.375
Cd 0.750 0.750 0.750
Se 0.375 0.874 0.375
Cr 0.000 0.000 0.000
Se 0.874 0.375 0.375
Se 0.375 0.375 0.874

Properties
The calculation puts the magnetic moment at 4.62 μB/cell. The volume is 22.591 A^3/atom. The calculation puts the energy relative to the elements, uncorrected at 3.4 eV per formula unit. The mass density is 5.88 g/cm3.

***

Entry 12:
Material: CrCdSiSe2
Method: DFT, PBE
State: relaxed

Unit cell a=4.781 b=5.192 c=4.781 alpha=90.00 beta=90.00 gamma=90.00
Fractional positions:
Si 0.500 0.500 0.500
Se 0.000 0.000 0.500
Cr 0.000 0.000 0.000
Se 0.500 0.000 0.000
Cd 0.000 0.500 0.000

Properties
The calculation puts the magnetic moment at 3.09 μB/cell. The volume is 23.737 A^3/atom. The calculation puts the energy relative to the elements, uncorrected at 2.8 eV per formula unit. The mass density is 4.90 g/cm3.

***

| no. | calculated total energy (eV/atom) |
| --- | --- |
| 1 | -5.225 |
| 2 | -4.432 |
| 3 | -5.867 |
| 4 | -4.359 |
| 5 | -7.462 |
| 6 | -3.446 |
| 7 | -6.539 |
| 8 | -5.223 |
| 9 | -5.435 |
| 10 | -5.706 |
| 11 | -3.512 |
| 12 | -4.023 |